Hg2Mo (PBE, relaxed); E = -10.62 eV per formula unit; DFT formation energy = 0.273 eV per atom; magnetization = 0.00 μB per formula unit; offset from the most stable computed form = 0 meV per atom; space group = P-3m1 (164)
1.0
3.1922 0.0000 0.0000
-1.5961 2.7645 0.0000
0.0000 0.0000 14.4498
Hg Mo
4 2
Direct
0.3333 0.6667 0.0915
0.3333 0.6667 0.7260
0.6667 0.3333 0.2740
0.6667 0.3333 0.9085
0.3333 0.6667 0.4415
0.6667 0.3333 0.5585

Hg3Mo (PBE, relaxed); E = -9.42 eV per formula unit; DFT formation energy = 0.580 eV per atom; magnetization = 0.00 μB per formula unit; offset from the most stable computed form = 272 meV per atom; space group = R-3m (166)
1.0
4.9195 2.8403 0.9673
-4.9195 2.8403 0.9673
0.0000 -5.6806 0.9673
Hg Mo
3 1
Direct
0.0000 0.5000 0.5000
0.5000 0.0000 0.5000
0.5000 0.5000 0.0000
0.0000 0.0000 0.0000

HgMo (PBE, relaxed); E = -8.18 eV per formula unit; DFT formation energy = 1.477 eV per atom; magnetization = 0.41 μB per formula unit; offset from the most stable computed form = 1058 meV per atom; space group = Fm-3m (225)
1.0
0.0000 2.7600 2.7600
2.7600 0.0000 2.7600
2.7600 2.7600 0.0000
Hg Mo
1 1
Direct
0.0000 0.0000 0.0000
0.5000 0.5000 0.5000

HgMo (PBE, relaxed); E = -10.10 eV per formula unit; DFT formation energy = 0.517 eV per atom; magnetization = 0.00 μB per formula unit; offset from the most stable computed form = 98 meV per atom; space group = P2_1/m (11)
1.0
2.9423 0.0000 0.0000
0.0000 4.1746 0.0000
-0.3590 0.0000 6.1042
Hg Mo
2 2
Direct
0.2330 0.2500 0.3667
0.7670 0.7500 0.6333
0.3344 0.2500 0.9043
0.6656 0.7500 0.0957

Hg2Mo3 (PBE, relaxed); E = -30.19 eV per formula unit; DFT formation energy = 0.581 eV per atom; magnetization = 0.00 μB per formula unit; offset from the most stable computed form = 0 meV per atom; space group = R-3m (166)
1.0
1.5242 0.8800 11.5391
-1.5242 0.8800 11.5391
0.0000 -1.7600 11.5391
Hg Mo
2 3
Direct
0.0984 0.0984 0.0984
0.9016 0.9016 0.9016
0.3078 0.3078 0.3078
0.5000 0.5000 0.5000
0.6922 0.6922 0.6922

HgMo (PBE, relaxed); E = -9.54 eV per formula unit; DFT formation energy = 0.797 eV per atom; magnetization = 0.00 μB per formula unit; offset from the most stable computed form = 378 meV per atom; space group = P4/nmm (129)
1.0
3.6350 0.0000 0.0000
0.0000 3.6350 0.0000
0.0000 0.0000 6.2245
Hg Mo
2 2
Direct
0.2500 0.2500 0.1260
0.7500 0.7500 0.8740
0.2500 0.7500 0.5000
0.7500 0.2500 0.5000

HgMo (PBE, relaxed); E = -9.82 eV per formula unit; DFT formation energy = 0.656 eV per atom; magnetization = 0.00 μB per formula unit; offset from the most stable computed form = 237 meV per atom; space group = I4_1/amd (141)
1.0
-2.0676 2.0676 4.1937
2.0676 -2.0676 4.1937
2.0676 2.0676 -4.1937
Hg Mo
2 2
Direct
0.3750 0.6250 0.7500
0.6250 0.3750 0.2500
0.1250 0.8750 0.2500
0.8750 0.1250 0.7500

HgMo (PBE, relaxed); E = -10.03 eV per formula unit; DFT formation energy = 0.551 eV per atom; magnetization = 0.00 μB per formula unit; offset from the most stable computed form = 132 meV per atom; space group = P6_3/mmc (194)
1.0
8.4450 0.0000 0.0000
-4.2225 7.3136 0.0000
0.0000 0.0000 3.9824
Hg Mo
6 6
Direct
0.1671 0.3342 0.2500
0.1671 0.8329 0.2500
0.3342 0.1671 0.7500
0.6658 0.8329 0.2500
0.8329 0.1671 0.7500
0.8329 0.6658 0.7500
0.1138 0.5569 0.7500
0.4431 0.5569 0.7500
0.4431 0.8862 0.7500
0.5569 0.1138 0.2500
0.5569 0.4431 0.2500
0.8862 0.4431 0.2500

Q: Look up the offset from the most stable computed form of the fourth one.
A: 98 meV per atom

Copy entry 8 word for word.
HgMo (PBE, relaxed); E = -10.03 eV per formula unit; DFT formation energy = 0.551 eV per atom; magnetization = 0.00 μB per formula unit; offset from the most stable computed form = 132 meV per atom; space group = P6_3/mmc (194)
1.0
8.4450 0.0000 0.0000
-4.2225 7.3136 0.0000
0.0000 0.0000 3.9824
Hg Mo
6 6
Direct
0.1671 0.3342 0.2500
0.1671 0.8329 0.2500
0.3342 0.1671 0.7500
0.6658 0.8329 0.2500
0.8329 0.1671 0.7500
0.8329 0.6658 0.7500
0.1138 0.5569 0.7500
0.4431 0.5569 0.7500
0.4431 0.8862 0.7500
0.5569 0.1138 0.2500
0.5569 0.4431 0.2500
0.8862 0.4431 0.2500